a | # Mo2SeBr (meta-GGA SCAN, PBEsol geometry)
# magnetic moment: 0.00 Bohr magnetons per cell
# V: 15.39 A^3/atom
data_Mo2SeBr
_chemical_formula_sum 'Mo2 Se1 Br1'
_cell_length_a 4.4297
_cell_length_b 4.4297
_cell_length_c 3.1381
_cell_angle_alpha 90.00
_cell_angle_beta 90.00
_cell_angle_gamma 90.00
_symmetry_space_group_name_H-M 'P 4/m m m'
_symmetry_Int_Tables_number 123
_symmetry_space_group_name_Hall '-P 4 2'
loop_
_atom_site_label
_atom_site_type_symbol
_atom_site_fract_x
_atom_site_fract_y
_atom_site_fract_z
Mo1 Mo 0.0000 0.5000 0.0000
Se1 Se 0.0000 0.0000 0.5000
Br1 Br 0.5000 0.5000 0.5000



b | # Mo2SeBr (meta-GGA SCAN, PBEsol geometry)
# magnetic moment: 4.77 Bohr magnetons per cell
# V: 16.88 A^3/atom
data_Mo2SeBr
_chemical_formula_sum 'Mo8 Se4 Br4'
_cell_length_a 6.4642
_cell_length_b 6.4642
_cell_length_c 6.4642
_cell_angle_alpha 90.00
_cell_angle_beta 90.00
_cell_angle_gamma 90.00
_symmetry_space_group_name_H-M 'F -4 3 m'
_symmetry_Int_Tables_number 216
_symmetry_space_group_name_Hall 'F -4 2 3'
loop_
_atom_site_label
_atom_site_type_symbol
_atom_site_fract_x
_atom_site_fract_y
_atom_site_fract_z
Mo1 Mo 0.0000 0.0000 0.0000
Mo2 Mo 0.2500 0.2500 0.2500
Se1 Se 0.0000 0.0000 0.5000
Br1 Br 0.2500 0.2500 0.7500



Ranking the structures above from most stable to least stable yields a, b.